The following is a DFT calculation (GGA-PBE) of a geometry-optimized Dy12Y5In2 structure.

a b c (Å): 8.978 8.978 8.378
angles (deg): 91.69 91.69 61.65
Fractional coordinates of all 19 atoms:
Dy  0.053  0.053  0.326
Dy  0.071  0.679  0.338
Dy  0.166  0.537  0.762
Dy  0.321  0.929  0.662
Dy  0.416  0.416  0.113
Dy  0.463  0.834  0.238
Dy  0.537  0.166  0.762
Dy  0.584  0.584  0.887
Dy  0.679  0.071  0.338
Dy  0.834  0.463  0.238
Dy  0.929  0.321  0.662
Dy  0.947  0.947  0.674
Y  0.190  0.190  0.006
Y  0.265  0.265  0.421
Y  0.500  0.500  0.500
Y  0.735  0.735  0.579
Y  0.810  0.810  0.994
In  0.179  0.821  0.000
In  0.821  0.179  0.000

Output
Energy of formation from the pure elements, eV per formula unit: -0.15
DOS(E_F), states/eV per cell: 29.2
DFT total energy, eV per atom: -4.904
Calculated density, kg/m3: 7336
Magnetic moment, μB per formula unit: 0.00